[1]
Here is a geometry-optimized TbTmNi structure from Alexandria via LeMat-Bulk. Energies are from PBE.

Geometry as POSCAR:
```
TbTmNi
1.0
4.714 0.000 0.000
2.357 4.082 0.000
2.357 1.361 3.849
Tm Ni Tb
1 1 1
Cartesian
4.714 2.722 1.924
2.357 1.361 0.962
0.000 0.000 0.000
```

Volume ... 24.69 A^3/atom
Total magnetization ... 0.00 μB/f.u.
Polymorph energy (0 for the lowest one) ... 0.138 eV per atom
Energy of formation ... -0.175 eV per atom


[2]
Here is a geometry-optimized Tb4Tm3Ni4 structure from Alexandria via LeMat-Bulk. Energies are from PBE.

Geometry as POSCAR:
```
Tb4Tm3Ni4
1.0
3.765 0.000 0.000
0.000 8.984 0.000
-1.882 -4.492 7.480
Tm Ni Tb
3 4 4
Cartesian
1.882 4.492 5.827
0.000 4.492 0.000
0.000 0.000 1.652
1.882 1.319 0.000
1.882 0.000 3.898
0.000 4.492 3.582
1.882 7.666 0.000
0.000 -1.674 5.099
1.882 2.818 2.381
1.882 6.166 2.381
0.000 1.674 5.099
```

Volume ... 23.00 A^3/atom
Total magnetization ... 0.00 μB/f.u.
Energy of formation ... -0.231 eV per atom


[3]
Here is a geometry-optimized Tb3Tm3Ni2 structure from Alexandria via LeMat-Bulk. Energies are from PBE.

Geometry as POSCAR:
```
Tb3Tm3Ni2
1.0
3.612 0.000 0.000
-1.806 6.509 0.000
0.000 0.000 18.250
Tb Tm Ni
6 6 4
Cartesian
0.000 5.976 4.563
1.806 0.533 13.688
1.806 2.298 7.959
0.000 4.211 10.291
1.806 2.298 1.166
0.000 4.211 17.084
1.806 5.690 7.588
1.806 5.690 1.537
0.000 0.818 16.713
0.000 3.405 13.688
1.806 3.104 4.563
0.000 0.818 10.662
0.000 3.958 2.554
0.000 3.958 6.571
1.806 2.551 15.696
1.806 2.551 11.679
```

Volume ... 26.81 A^3/atom
Total magnetization ... 0.00 μB/f.u.
Energy of formation ... -0.167 eV per atom


[4]
Here is a geometry-optimized TbTmNi10 structure from Alexandria via LeMat-Bulk. Energies are from PBE.

Geometry as POSCAR:
```
TbTmNi10
1.0
-1.301 3.372 -1.611
-4.158 -0.411 2.497
3.392 4.348 6.364
Ni Tm Tb
10 1 1
Cartesian
1.046 3.860 2.376
-2.911 2.473 2.668
0.843 4.836 4.583
0.740 3.409 6.538
-1.507 0.528 2.323
-1.227 4.631 5.826
-2.729 1.480 0.443
1.138 1.458 2.134
2.254 2.890 4.229
-0.840 2.678 1.424
-0.383 1.968 4.430
0.000 0.000 0.000
```

Volume ... 13.51 A^3/atom
Total magnetization ... 2.87 μB/f.u.
Energy of formation ... -0.332 eV per atom